Record 1
First-principles (PBE) data for an optimized crystal structure of Ba2ReRu, as listed in Alexandria.

a = 5.7347 Å, b = 5.7347 Å, c = 3.4657 Å
α = 90.02°, β = 90.02°, γ = 109.96°
Each line ends with the local moment (μB).
Fractional positions:
Ba: 0.5000 0.5000 0.0000  -0.03
Ba: 0.0000 0.0000 0.0000  -0.03
Re: 0.5000 0.0000 0.5000  1.90
Ru: 0.0000 0.5000 0.5000  1.03

Space group   No. 65
Polymorph energy (0 for the lowest one)   1146 meV/atom

=====

Record 2
First-principles (PBE) data for an optimized crystal structure of KZnAg2Cl6, as listed in Alexandria.

a = 7.8207 Å, b = 9.5475 Å, c = 9.5475 Å
α = 104.63°, β = 74.04°, γ = 74.04°
Each line ends with the local moment (μB).
Fractional positions:
Zn: 0.2500 0.1833 0.8167  0.01
Zn: 0.7500 0.8167 0.1833  0.01
Cl: 0.0420 0.6516 0.1428  0.03
Cl: 0.5086 0.5506 0.6933  0.14
Cl: 0.7962 0.0550 0.2138  0.06
Cl: 0.2038 0.9450 0.7862  0.06
Cl: 0.0086 0.6933 0.5506  0.14
Cl: 0.9914 0.3067 0.4494  0.14
Cl: 0.4914 0.4494 0.3067  0.14
Cl: 0.2962 0.2138 0.0550  0.06
Cl: 0.4580 0.8572 0.3484  0.03
Cl: 0.5420 0.1428 0.6516  0.03
Cl: 0.9580 0.3484 0.8572  0.03
Cl: 0.7038 0.7862 0.9450  0.06
Ag: 0.3590 0.7048 0.5369  0.18
Ag: 0.8590 0.5369 0.7048  0.18
Ag: 0.1410 0.4631 0.2952  0.18
Ag: 0.6410 0.2952 0.4631  0.18
K: 0.2500 0.8934 0.1066  0.00
K: 0.7500 0.1066 0.8934  0.00

Space group   No. 15
Energy relative to the elements, uncorrected   -88.50 kJ per mole of atoms

=====

Record 3
First-principles (PBE) data for an optimized crystal structure of TcBiSb2, as listed in Alexandria.

a = 3.1859 Å, b = 3.1859 Å, c = 11.8077 Å
α = 82.25°, β = 82.25°, γ = 60.00°
Each line ends with the local moment (μB).
Fractional positions:
Sb: 0.0764 0.0764 0.7708  0.01
Sb: 0.9236 0.9236 0.2292  0.01
Tc: 0.0000 0.0000 0.0000  1.27
Bi: 0.5000 0.5000 0.5000  -0.01

Space group   No. 166
Energy relative to the elements, uncorrected   73.05 kJ per mole of atoms

=====

| no. | DOS at the Fermi energy (states/eV/atom) | total magnetization (μB/f.u.) |
| --- | --- | --- |
| 1 | 1.35 | 3.19 |
| 2 | 0.69 | 0.93 |
| 3 | 0.79 | 1.47 |